Run w
# Li2Y2Br PBE-GGA relaxed
data_Li2Y2Br
_space_group_name_H-M_alt 'I 4/m m m'
_space_group_IT_number 139
_space_group_name_Hall '-I 4 2'
_cell_length_a 3.592
_cell_length_b 3.592
_cell_length_c 18.631
_cell_angle_alpha 90.00
_cell_angle_beta 90.00
_cell_angle_gamma 90.00
loop_
_atom_site_label
_atom_site_type_symbol
_atom_site_fract_x
_atom_site_fract_y
_atom_site_fract_z
Li1 Li 0.000 0.500 0.250
Y1 Y 0.000 0.000 0.103
Br1 Br 0.000 0.000 0.500
# magnetic moment = 0.00 μB/cell


Run x
# Li2Y2Br PBE-GGA relaxed
data_Li2Y2Br
_space_group_name_H-M_alt 'P 4/m b m'
_space_group_IT_number 127
_space_group_name_Hall '-P 4 2ab'
_cell_length_a 7.615
_cell_length_b 7.615
_cell_length_c 4.965
_cell_angle_alpha 90.00
_cell_angle_beta 90.00
_cell_angle_gamma 90.00
loop_
_atom_site_label
_atom_site_type_symbol
_atom_site_fract_x
_atom_site_fract_y
_atom_site_fract_z
Li1 Li 0.129 0.371 0.000
Y1 Y 0.160 0.660 0.500
Br1 Br 0.000 0.000 0.500
# magnetic moment = 0.00 μB/cell


Relative energy of each structure, in meV per atom: run w 74; run x 0.


Run w
# LiY2Br PBE-GGA relaxed
data_LiY2Br
_space_group_name_H-M_alt 'P 1 m 1'
_space_group_IT_number 6
_space_group_name_Hall 'P -2y'
_cell_length_a 4.112
_cell_length_b 4.033
_cell_length_c 6.419
_cell_angle_alpha 90.00
_cell_angle_beta 108.60
_cell_angle_gamma 90.00
loop_
_atom_site_label
_atom_site_type_symbol
_atom_site_fract_x
_atom_site_fract_y
_atom_site_fract_z
Li1 Li 0.000 0.000 0.000
Y1 Y 0.399 0.500 0.798
Y2 Y 0.724 0.000 0.447
Br1 Br 0.142 0.500 0.282
# magnetic moment = 0.00 μB/cell


Run x
# LiY2Br PBE-GGA relaxed
data_LiY2Br
_space_group_name_H-M_alt 'F m -3 m'
_space_group_IT_number 225
_space_group_name_Hall '-F 4 2 3'
_cell_length_a 7.435
_cell_length_b 7.435
_cell_length_c 7.435
_cell_angle_alpha 90.00
_cell_angle_beta 90.00
_cell_angle_gamma 90.00
loop_
_atom_site_label
_atom_site_type_symbol
_atom_site_fract_x
_atom_site_fract_y
_atom_site_fract_z
Li1 Li 0.000 0.000 0.000
Y1 Y 0.250 0.250 0.250
Br1 Br 0.000 0.000 0.500
# magnetic moment = 0.01 μB/cell


Run y
# LiY2Br PBE-GGA relaxed
data_LiY2Br
_space_group_name_H-M_alt 'R -3 m'
_space_group_IT_number 166
_space_group_name_Hall '-R 3 2"'
_cell_length_a 3.6236
_cell_length_b 3.6236
_cell_length_c 28.6890
_cell_angle_alpha 90.00
_cell_angle_beta 90.00
_cell_angle_gamma 120.00
loop_
_atom_site_label
_atom_site_type_symbol
_atom_site_fract_x
_atom_site_fract_y
_atom_site_fract_z
Li1 Li 0.0000 0.0000 0.0000
Y1 Y 0.0000 0.0000 0.2481
Br1 Br 0.0000 0.0000 0.5000
# magnetic moment = 2.19 μB/cell


Relative energy of each structure, in meV per atom: run w 0; run x 250; run y 22.


Run w
# LiY2Br PBE-GGA relaxed
data_LiY2Br
_space_group_name_H-M_alt 'P m m m'
_space_group_IT_number 47
_space_group_name_Hall '-P 2 2'
_cell_length_a 3.612
_cell_length_b 5.324
_cell_length_c 5.838
_cell_angle_alpha 90.00
_cell_angle_beta 90.00
_cell_angle_gamma 90.00
loop_
_atom_site_label
_atom_site_type_symbol
_atom_site_fract_x
_atom_site_fract_y
_atom_site_fract_z
Li1 Li 0.000 0.000 0.000
Y1 Y 0.000 0.500 0.500
Y2 Y 0.500 0.500 0.000
Br1 Br 0.500 0.000 0.500
# magnetic moment = 0.00 μB/cell


Run x
# LiY2Br PBE-GGA relaxed
data_LiY2Br
_space_group_name_H-M_alt 'I -4 m 2'
_space_group_IT_number 119
_space_group_name_Hall 'I -4 -2'
_cell_length_a 4.277
_cell_length_b 4.277
_cell_length_c 11.598
_cell_angle_alpha 90.00
_cell_angle_beta 90.00
_cell_angle_gamma 90.00
loop_
_atom_site_label
_atom_site_type_symbol
_atom_site_fract_x
_atom_site_fract_y
_atom_site_fract_z
Li1 Li 0.000 0.000 0.000
Y1 Y 0.000 0.000 0.500
Y2 Y 0.000 0.500 0.750
Br1 Br 0.000 0.500 0.250
# magnetic moment = 0.00 μB/cell


Run y
# LiY2Br PBE-GGA relaxed
data_LiY2Br
_space_group_name_H-M_alt 'I m m m'
_space_group_IT_number 71
_space_group_name_Hall '-I 2 2'
_cell_length_a 3.543
_cell_length_b 5.677
_cell_length_c 11.738
_cell_angle_alpha 90.00
_cell_angle_beta 90.00
_cell_angle_gamma 90.00
loop_
_atom_site_label
_atom_site_type_symbol
_atom_site_fract_x
_atom_site_fract_y
_atom_site_fract_z
Li1 Li 0.000 0.000 0.000
Y1 Y 0.000 0.500 0.206
Br1 Br 0.000 0.000 0.500
# magnetic moment = 0.00 μB/cell


Run z
# LiY2Br PBE-GGA relaxed
data_LiY2Br
_space_group_name_H-M_alt 'C m m m'
_space_group_IT_number 65
_space_group_name_Hall '-C 2 2'
_cell_length_a 3.782
_cell_length_b 5.887
_cell_length_c 9.962
_cell_angle_alpha 90.00
_cell_angle_beta 90.00
_cell_angle_gamma 90.00
loop_
_atom_site_label
_atom_site_type_symbol
_atom_site_fract_x
_atom_site_fract_y
_atom_site_fract_z
Li1 Li 0.000 0.000 0.000
Y1 Y 0.000 0.500 0.257
Br1 Br 0.000 0.000 0.500
# magnetic moment = 0.00 μB/cell


Relative energy of each structure, in meV per atom: run w 163; run x 154; run y 34; run z 0.